# 1
DFT (GGA-PBE) results for a relaxed MgAsS2 crystal.

## Properties
total moment = 0.0 μB/f.u.
formation energy without anion corrections = -0.3584 eV/atom
E_tot = -3.98 eV per atom
space-group type = I-42d
density = 2.82 g/cm³
density of states at the Fermi level = 0.33 states/eV/atom

Cell lengths 5.3471, 5.3471, 7.7254 Å; angles 69.75, 69.75, 90.00 degrees
Closest atoms and distances in Å follow each position.
Fractional coordinates of all 8 atoms:
1 Mg 0.5000 0.5000 0.0000  4 S 2.53
2 Mg 0.2500 0.7500 0.5000  4 S 2.53
3 As 0.0000 0.0000 0.0000  4 S 2.54
4 As 0.7500 0.2500 0.5000  4 S 2.54
5 S 0.6235 0.1250 0.2500  2 Mg 2.53, 2 As 2.54
6 S 0.1265 0.6250 0.2500  2 Mg 2.53, 2 As 2.54
7 S 0.3750 0.3765 0.7500  2 Mg 2.53, 2 As 2.54
8 S 0.8750 0.8735 0.7500  2 Mg 2.53, 2 As 2.54


# 2
DFT (GGA-PBE) results for a relaxed Mg3InW crystal.

## Properties
total moment = 4.9 μB/f.u.
E_tot = -2.67 eV per atom
DFT formation energy = 1.42 eV/atom
space-group type = Pm-3m
density = 4.30 g/cm³
density of states at the Fermi level = 0.64 states/eV/atom

Cell lengths 5.2341, 5.2341, 5.2341 Å; angles 90.00, 90.00, 90.00 degrees
Closest atoms and distances in Å follow each position.
Fractional coordinates of all 5 atoms:
1 Mg 0.0000 0.5000 0.0000  2 In 2.62
2 Mg 0.0000 0.0000 0.5000  2 In 2.62
3 Mg 0.5000 0.0000 0.0000  2 In 2.62
4 W 0.5000 0.5000 0.5000  12 Mg 3.70
5 In 0.0000 0.0000 0.0000  6 Mg 2.62


# 3
DFT (GGA-PBE) results for a relaxed Li4BeSb crystal.

## Properties
total moment = 0.0 μB/f.u.
formation energy without anion corrections = 0.1455 eV/atom
E_tot = -2.44 eV per atom
space-group type = F-43m
density = 2.68 g/cm³
density of states at the Fermi level = 0.52 states/eV/atom

Cell lengths 5.1798, 5.1798, 5.1798 Å; angles 60.00, 60.00, 60.00 degrees
Closest atoms and distances in Å follow each position.
Fractional coordinates of all 6 atoms:
1 Li 0.8757 0.3748 0.3748  6 Li 2.58-2.59
2 Li 0.3748 0.3748 0.8757  6 Li 2.58-2.59
3 Li 0.3748 0.8757 0.3748  6 Li 2.58-2.59
4 Li 0.3748 0.3748 0.3748  6 Li 2.58-2.59
5 Be 0.0000 0.0000 0.0000  12 Li 3.04, 4 Sb 3.17
6 Sb 0.7500 0.7500 0.7500  12 Li 3.04, 4 Be 3.17


# 4
DFT (GGA-PBE) results for a relaxed NaTe2ICl crystal.

## Properties
total moment = 1.0 μB/f.u.
formation energy without anion corrections = 0.4039 eV/atom
E_tot = -1.80 eV per atom
space-group type = P4/mmm
density = 4.11 g/cm³
density of states at the Fermi level = 1.12 states/eV/atom

Cell lengths 5.6409, 5.6409, 5.5973 Å; angles 90.00, 90.00, 90.00 degrees
Closest atoms and distances in Å follow each position.
Fractional coordinates of all 5 atoms:
1 I 0.0000 0.0000 0.5000  2 Na 2.80
2 Na 0.0000 0.0000 0.0000  2 I 2.80, 4 Te 2.82
3 Te 0.0000 0.5000 0.0000  2 Na 2.82
4 Te 0.5000 0.0000 0.0000  2 Na 2.82
5 Cl 0.5000 0.5000 0.5000  8 Te 3.97, 4 I 3.99


# 5
DFT (GGA-PBE) results for a relaxed NaY3Cu crystal.

## Properties
total moment = 0.0 μB/f.u.
E_tot = -4.76 eV per atom
DFT formation energy = 0.21 eV/atom
space-group type = Pm-3m
density = 3.60 g/cm³
density of states at the Fermi level = 1.59 states/eV/atom

Cell lengths 5.4628, 5.4628, 5.4628 Å; angles 90.00, 90.00, 90.00 degrees
Closest atoms and distances in Å follow each position.
Fractional coordinates of all 5 atoms:
1 Y 0.0000 0.5000 0.0000  2 Cu 2.73
2 Y 0.0000 0.0000 0.5000  2 Cu 2.73
3 Y 0.5000 0.0000 0.0000  2 Cu 2.73
4 Na 0.5000 0.5000 0.5000  12 Y 3.86
5 Cu 0.0000 0.0000 0.0000  6 Y 2.73


# 6
DFT (GGA-PBE) results for a relaxed BaSr2FeHg crystal.

## Properties
total moment = 0.0 μB/f.u.
E_tot = -1.77 eV per atom
DFT formation energy = 1.04 eV/atom
space-group type = P4/mmm
density = 4.73 g/cm³
density of states at the Fermi level = 1.10 states/eV/atom

Cell lengths 6.5606, 4.6386, 6.5606 Å; angles 90.00, 90.00, 90.00 degrees
Closest atoms and distances in Å follow each position.
Fractional coordinates of all 5 atoms:
1 Fe 0.0000 0.5000 0.0000  2 Ba 2.32
2 Sr 0.0000 0.0000 0.5000  2 Ba 3.28
3 Sr 0.5000 0.0000 0.0000  2 Ba 3.28
4 Hg 0.5000 0.5000 0.5000  8 Sr 4.02
5 Ba 0.0000 0.0000 0.0000  2 Fe 2.32


# 7
DFT (GGA-PBE) results for a relaxed Ga2OF crystal.

## Properties
total moment = 0.0 μB/f.u.
formation energy without anion corrections = -1.0359 eV/atom
E_tot = -4.26 eV per atom
space-group type = I-42d
density = 4.16 g/cm³
density of states at the Fermi level = 0.44 states/eV/atom

Cell lengths 5.3869, 5.3869, 6.1244 Å; angles 63.91, 63.91, 90.00 degrees
Closest atoms and distances in Å follow each position.
Fractional coordinates of all 8 atoms:
1 O 0.5000 0.5000 0.0000  4 Ga 2.15
2 O 0.2500 0.7500 0.5000  4 Ga 2.15
3 Ga 0.5930 0.1250 0.2500  2 O 2.15, 2 F 2.36
4 Ga 0.1570 0.6250 0.2500  2 O 2.15, 2 F 2.36
5 Ga 0.3750 0.4070 0.7500  2 O 2.15, 2 F 2.36
6 Ga 0.8750 0.8430 0.7500  2 O 2.15, 2 F 2.36
7 F 0.0000 0.0000 0.0000  4 Ga 2.36
8 F 0.7500 0.2500 0.5000  4 Ga 2.36


# 8
DFT (GGA-PBE) results for a relaxed NaCaSnI2 crystal.

## Properties
total moment = 0.0 μB/f.u.
formation energy without anion corrections = -0.2415 eV/atom
E_tot = -2.33 eV per atom
space-group type = P4/mmm
density = 3.80 g/cm³
density of states at the Fermi level = 1.10 states/eV/atom

Cell lengths 5.6724, 5.9186, 5.6724 Å; angles 90.00, 90.00, 90.00 degrees
Closest atoms and distances in Å follow each position.
Fractional coordinates of all 5 atoms:
1 I 0.0000 0.0000 0.5000  2 Na 2.84
2 I 0.5000 0.0000 0.0000  2 Na 2.84
3 Na 0.0000 0.0000 0.0000  4 I 2.84, 2 Sn 2.96
4 Ca 0.5000 0.5000 0.5000  4 Sn 4.01, 8 I 4.10
5 Sn 0.0000 0.5000 0.0000  2 Na 2.96


# 9
DFT (GGA-PBE) results for a relaxed CeScTlCd crystal.

## Properties
total moment = 1.5 μB/f.u.
E_tot = -4.11 eV per atom
DFT formation energy = -0.22 eV/atom
space-group type = F-43m
density = 8.01 g/cm³
density of states at the Fermi level = 2.57 states/eV/atom

Cell lengths 5.2787, 5.2787, 5.2787 Å; angles 60.00, 60.00, 60.00 degrees
Closest atoms and distances in Å follow each position.
Fractional coordinates of all 4 atoms:
1 Sc 0.0000 0.0000 0.0000  4 Tl 3.23, 4 Cd 3.23
2 Tl 0.7500 0.7500 0.7500  4 Sc 3.23, 4 Ce 3.23
3 Ce 0.5000 0.5000 0.5000  4 Tl 3.23, 4 Cd 3.23
4 Cd 0.2500 0.2500 0.2500  4 Ce 3.23, 4 Sc 3.23


# 10
DFT (GGA-PBE) results for a relaxed Ga40SnMo8 crystal.

## Properties
total moment = 0.0 μB/f.u.
E_tot = -4.46 eV per atom
DFT formation energy = -0.14 eV/atom
space-group type = R-3
density = 6.92 g/cm³
density of states at the Fermi level = 0.40 states/eV/atom

Cell lengths 9.6134, 9.6134, 9.6134 Å; angles 93.84, 93.84, 93.84 degrees
Closest atoms and distances in Å follow each position.
Fractional coordinates of all 49 atoms:
1 Ga 0.5000 0.5000 0.5000  12 Ga 2.93-2.97
2 Ga 0.0000 0.5000 0.5000  2 Mo 2.60, 8 Ga 2.82-2.86
3 Ga 0.5000 0.0000 0.5000  2 Mo 2.60, 8 Ga 2.82-2.86
4 Ga 0.5000 0.5000 0.0000  2 Mo 2.60, 8 Ga 2.82-2.86
5 Ga 0.2595 0.6372 0.6142  2 Mo 2.67-2.70, 6 Ga 2.84-2.98
6 Ga 0.6142 0.2595 0.6372  2 Mo 2.67-2.70, 6 Ga 2.84-2.98
7 Ga 0.6372 0.6142 0.2595  2 Mo 2.67-2.70, 6 Ga 2.84-2.98
8 Ga 0.7405 0.3628 0.3858  2 Mo 2.67-2.70, 6 Ga 2.84-2.98
9 Ga 0.3858 0.7405 0.3628  2 Mo 2.67-2.70, 6 Ga 2.84-2.98
10 Ga 0.3628 0.3858 0.7405  2 Mo 2.67-2.70, 6 Ga 2.84-2.98
11 Ga 0.6669 0.7678 0.5236  2 Mo 2.62-2.69, 4 Ga 2.84-2.93
12 Ga 0.5236 0.6669 0.7678  2 Mo 2.62-2.69, 4 Ga 2.84-2.93
13 Ga 0.7678 0.5236 0.6669  2 Mo 2.62-2.69, 4 Ga 2.84-2.93
14 Ga 0.3331 0.2322 0.4764  2 Mo 2.62-2.69, 4 Ga 2.84-2.93
15 Ga 0.4764 0.3331 0.2322  2 Mo 2.62-2.69, 4 Ga 2.84-2.93
16 Ga 0.2322 0.4764 0.3331  2 Mo 2.62-2.69, 4 Ga 2.84-2.93
17 Ga 0.7771 0.0757 0.4403  2 Mo 2.62-2.64, 6 Ga 2.78-2.88
18 Ga 0.4403 0.7771 0.0757  2 Mo 2.62-2.64, 6 Ga 2.78-2.88
19 Ga 0.0757 0.4403 0.7771  2 Mo 2.62-2.64, 6 Ga 2.78-2.88
20 Ga 0.2229 0.9243 0.5597  2 Mo 2.62-2.64, 6 Ga 2.78-2.88
21 Ga 0.5597 0.2229 0.9243  2 Mo 2.62-2.64, 6 Ga 2.78-2.88
22 Ga 0.9243 0.5597 0.2229  2 Mo 2.62-2.64, 6 Ga 2.78-2.88
23 Ga 0.9591 0.7826 0.5930  2 Mo 2.57-2.59, 5 Ga 2.76-2.88
24 Ga 0.5930 0.9591 0.7826  2 Mo 2.57-2.59, 5 Ga 2.76-2.88
25 Ga 0.7826 0.5930 0.9591  2 Mo 2.57-2.59, 5 Ga 2.76-2.88
26 Ga 0.0409 0.2174 0.4070  2 Mo 2.57-2.59, 5 Ga 2.76-2.88
27 Ga 0.4070 0.0409 0.2174  2 Mo 2.57-2.59, 5 Ga 2.76-2.88
28 Ga 0.2174 0.4070 0.0409  2 Mo 2.57-2.59, 5 Ga 2.76-2.88
29 Ga 0.0391 0.7274 0.8642  2 Mo 2.66-2.67, 5 Ga 2.74-2.94, 1 Sn 2.91
30 Ga 0.8642 0.0391 0.7274  2 Mo 2.66-2.67, 5 Ga 2.74-2.94, 1 Sn 2.91
31 Ga 0.7274 0.8642 0.0391  2 Mo 2.66-2.67, 5 Ga 2.74-2.94, 1 Sn 2.91
32 Ga 0.9609 0.2726 0.1358  2 Mo 2.66-2.67, 5 Ga 2.74-2.94, 1 Sn 2.91
33 Ga 0.1358 0.9609 0.2726  2 Mo 2.66-2.67, 5 Ga 2.74-2.94, 1 Sn 2.91
34 Ga 0.2726 0.1358 0.9609  2 Mo 2.66-2.67, 5 Ga 2.74-2.94, 1 Sn 2.91
35 Ga 0.1220 0.1662 0.6917  2 Mo 2.65-2.67, 5 Ga 2.74-2.92
36 Ga 0.6917 0.1220 0.1662  2 Mo 2.65-2.67, 5 Ga 2.74-2.92
37 Ga 0.1662 0.6917 0.1220  2 Mo 2.65-2.67, 5 Ga 2.74-2.92
38 Ga 0.8780 0.8338 0.3083  2 Mo 2.65-2.67, 5 Ga 2.74-2.92
39 Ga 0.3083 0.8780 0.8338  2 Mo 2.65-2.67, 5 Ga 2.74-2.92
40 Ga 0.8338 0.3083 0.8780  2 Mo 2.65-2.67, 5 Ga 2.74-2.92
41 Sn 0.0000 0.0000 0.0000  6 Ga 2.91
42 Mo 0.7800 0.7800 0.7800  9 Ga 2.57-2.66
43 Mo 0.2200 0.2200 0.2200  9 Ga 2.57-2.66
44 Mo 0.2836 0.6111 0.8893  10 Ga 2.59-2.70
45 Mo 0.8893 0.2836 0.6111  10 Ga 2.59-2.70
46 Mo 0.6111 0.8893 0.2836  10 Ga 2.59-2.70
47 Mo 0.7164 0.3889 0.1107  10 Ga 2.59-2.70
48 Mo 0.1107 0.7164 0.3889  10 Ga 2.59-2.70
49 Mo 0.3889 0.1107 0.7164  10 Ga 2.59-2.70


# 11
DFT (GGA-PBE) results for a relaxed La2YOs crystal.

## Properties
total moment = 0.0 μB/f.u.
E_tot = -6.92 eV per atom
DFT formation energy = -0.04 eV/atom
space-group type = Immm
density = 8.10 g/cm³
density of states at the Fermi level = 1.15 states/eV/atom

Cell lengths 6.4073, 6.4073, 6.4073 Å; angles 145.38, 129.40, 62.77 degrees
Closest atoms and distances in Å follow each position.
Fractional coordinates of all 4 atoms:
1 La 0.9421 0.9421 0.0000  2 Os 2.84
2 La 0.5579 0.5579 0.0000  2 Os 2.84
3 Os 0.7500 0.2500 0.5000  4 La 2.84
4 Y 0.2500 0.7500 0.5000  4 Os 3.34, 4 La 3.45


# 12
DFT (GGA-PBE) results for a relaxed Tb8As3CSe4 crystal.

## Properties
total moment = 0.0 μB/f.u.
formation energy without anion corrections = -1.5644 eV/atom
E_tot = -6.20 eV per atom
space-group type = R-3m
density = 7.94 g/cm³
density of states at the Fermi level = 0.25 states/eV/atom

Cell lengths 8.1090, 8.1724, 8.1092 Å; angles 119.74, 120.00, 90.00 degrees
Closest atoms and distances in Å follow each position.
Fractional coordinates of all 16 atoms:
1 Tb 0.2282 0.7223 0.9941  1 C 2.63, 2 As 2.85, 2 Se 2.93
2 Tb 0.2281 0.7222 0.4562  1 C 2.63, 2 As 2.85, 2 Se 2.93
3 Tb 0.2536 0.2607 0.5071  3 As 2.84, 3 Se 2.92
4 Tb 0.7659 0.7223 0.9941  1 C 2.63, 2 As 2.85, 2 Se 2.93
5 Tb 0.2341 0.2777 0.0059  1 C 2.63, 2 As 2.85, 2 Se 2.93
6 Tb 0.7464 0.7393 0.4929  3 As 2.84, 3 Se 2.92
7 Tb 0.7719 0.2778 0.5438  1 C 2.63, 2 As 2.85, 2 Se 2.93
8 Tb 0.7718 0.2777 0.0059  1 C 2.63, 2 As 2.85, 2 Se 2.93
9 As 0.5000 0.5000 0.0000  6 Tb 2.84-2.85
10 As 0.5000 0.5000 0.5000  6 Tb 2.84-2.85
11 As 0.0000 0.5000 0.5000  6 Tb 2.84-2.85
12 C 0.0000 0.5000 0.0000  6 Tb 2.63
13 Se 0.5000 0.0000 0.0000  6 Tb 3.13
14 Se 0.5000 0.0000 0.5000  6 Tb 2.92-2.93
15 Se 0.0000 0.0000 0.0000  6 Tb 2.92-2.93
16 Se 0.0000 0.0000 0.5000  6 Tb 2.92-2.93